1.
GGA-PBEsol TbGa2Pd, relaxed; DFT total energy = -5.260 eV/atom; formation energy from the elements = -3.39 eV/f.u.; space-group type = Cmcm (63)
1.0
2.1952 -5.0103 0.0000
2.1952 5.0103 0.0000
0.0000 0.0000 6.5019
Tb Ga Pd
2 4 2
Cartesian
2.1952 4.1128 4.8764 Tb
2.1952 -4.1128 1.6255 Tb
2.1952 1.2738 3.6003 Ga
2.1952 1.2738 6.1525 Ga
2.1952 -1.2738 0.3494 Ga
2.1952 -1.2738 2.9016 Ga
2.1952 3.0045 1.6255 Pd
2.1952 -3.0045 4.8764 Pd


2.
GGA-PBEsol GaTcPd3, relaxed; DFT total energy = -5.323 eV/atom; formation energy from the elements = 5.87 eV/f.u.; space-group type = Pm-3m (221)
1.0
4.6986 0.0000 0.0000
0.0000 4.6986 0.0000
0.0000 0.0000 4.6986
Ga Tc Pd
1 1 3
Cartesian
0.0000 0.0000 0.0000 Ga
2.3493 2.3493 2.3493 Tc
0.0000 2.3493 2.3493 Pd
2.3493 0.0000 2.3493 Pd
2.3493 2.3493 0.0000 Pd


3.
GGA-PBEsol GaTc3Pd, relaxed; DFT total energy = -6.461 eV/atom; polymorph energy (0 for the lowest one) = 493 meV per atom; formation energy from the elements = 10.79 eV/f.u.; space-group type = Pm-3m (221)
1.0
4.6149 0.0000 0.0000
0.0000 4.6149 0.0000
0.0000 0.0000 4.6149
Ga Tc Pd
1 3 1
Cartesian
0.0000 0.0000 0.0000 Ga
0.0000 2.3075 2.3075 Tc
2.3075 0.0000 2.3075 Tc
2.3075 2.3075 0.0000 Tc
2.3075 2.3075 2.3075 Pd